Version a
{
  "formula": "BaHoTc",
  "functional": "GGA-PBE",
  "state": "relaxed",
  "cell": [[-4.0118, -2.6640, -0.9660], [-4.1088, 2.2143, -1.5295], [-1.5142, -0.5658, -4.6381]],
  "species": ["Ba", "Ho", "Tc"],
  "fractional_positions": [[0.0000, 0.0000, 0.0000], [0.2500, 0.2500, 0.2500], [0.7500, 0.7500, 0.7500]]
}

---

Version b
{
  "formula": "BaHoTc",
  "functional": "GGA-PBE",
  "state": "relaxed",
  "cell": [[1.7734, -4.3294, -1.8091], [-3.1643, -3.4458, -1.8099], [-0.1625, -0.9125, -4.9298]],
  "species": ["Ba", "Ho", "Tc"],
  "fractional_positions": [[0.7500, 0.7500, 0.7500], [0.5000, 0.5000, 0.5000], [0.2500, 0.2500, 0.2500]]
}

---

Last place for stability: version a

---

Version a
{
  "formula": "BaHoTl",
  "functional": "GGA-PBE",
  "state": "relaxed",
  "cell": [[2.9292, -3.9503, -2.4536], [-2.5612, -4.1984, -2.4534], [0.0181, -0.4055, -5.4809]],
  "species": ["Ba", "Ho", "Tl"],
  "fractional_positions": [[0.0000, 0.0000, 0.0000], [0.2500, 0.2500, 0.2500], [0.7500, 0.7500, 0.7500]]
}

---

Version b
{
  "formula": "BaHoTl",
  "functional": "GGA-PBE",
  "state": "relaxed",
  "cell": [[0.0000, 3.9358, 3.9358], [3.9358, 0.0000, 3.9358], [3.9358, 3.9358, 0.0000]],
  "species": ["Ba", "Ho", "Tl"],
  "fractional_positions": [[0.2500, 0.2500, 0.2500], [0.7500, 0.7500, 0.7500], [0.0000, 0.0000, 0.0000]]
}

---

Last place for stability: version a

---

Version a
{
  "formula": "BaInPt2Pb",
  "functional": "GGA-PBE",
  "state": "relaxed",
  "cell": [[4.8765, 0.0000, 0.0000], [0.0000, 4.8765, 0.0000], [0.0000, 0.0000, 10.8494]],
  "species": ["Ba", "Ba", "In", "In", "Pb", "Pb", "Pt", "Pt", "Pt", "Pt"],
  "fractional_positions": [[0.0000, 0.5000, 0.2427], [0.5000, 0.0000, 0.7573], [0.0000, 0.0000, 0.5000], [0.5000, 0.5000, 0.5000], [0.5000, 0.0000, 0.1241], [0.0000, 0.5000, 0.8759], [0.0000, 0.0000, 0.0000], [0.5000, 0.5000, 0.0000], [0.5000, 0.0000, 0.3810], [0.0000, 0.5000, 0.6190]]
}

---

Version b
{
  "formula": "BaInPt2Pb",
  "functional": "GGA-PBE",
  "state": "relaxed",
  "cell": [[-1.9925, 0.5402, -4.4444], [1.3633, -4.5604, -1.1655], [-9.3312, -3.7424, 3.7284]],
  "species": ["Ba", "Ba", "In", "In", "Pb", "Pb", "Pt", "Pt", "Pt", "Pt"],
  "fractional_positions": [[0.0000, 0.5000, 0.2336], [0.5000, 0.0000, 0.7664], [0.5000, 0.0000, 0.1134], [0.0000, 0.5000, 0.8866], [0.0000, 0.0000, 0.5000], [0.5000, 0.5000, 0.5000], [0.0000, 0.0000, 0.0000], [0.5000, 0.5000, 0.0000], [0.5000, 0.0000, 0.3649], [0.0000, 0.5000, 0.6351]]
}

---

Last place for stability: version a